Tb6Pm2SmDy3: optimized geometry, PBE-GGA.

Geometry as POSCAR:
```
Tb6Pm2SmDy3
1.0
-2.863 -4.330 3.379
6.187 0.281 -0.070
-1.330 8.615 8.026
Tb Pm Dy Sm
6 2 3 1
direct
0.249 0.249 0.747
0.085 0.418 0.253
0.751 0.751 0.253
0.418 0.085 0.253
0.582 0.915 0.747
0.915 0.582 0.747
0.667 0.333 0.000
0.333 0.667 0.000
0.500 0.500 0.500
0.167 0.833 0.500
0.833 0.167 0.500
0.000 0.000 0.000
```

- V (Å³ per atom) = 32.32
- space group = No. 12
- crystal system = monoclinic
- formation enthalpy at 0 K (kJ/mol of atoms) = 1

TbPm2Sm5Dy: optimized geometry, PBE-GGA.

Geometry as POSCAR:
```
TbPm2Sm5Dy
1.0
-7.055 -2.129 4.564
2.932 -8.123 0.744
5.876 7.129 4.177
Pm Tb Sm Dy
4 2 10 2
direct
0.119 0.381 0.000
0.881 0.619 0.000
0.619 0.119 0.000
0.381 0.881 0.000
0.750 0.250 0.500
0.250 0.750 0.500
0.352 0.852 0.282
0.929 0.429 0.282
0.429 0.352 0.282
0.852 0.929 0.282
0.648 0.148 0.718
0.500 0.500 0.000
0.571 0.648 0.718
0.071 0.571 0.718
0.148 0.071 0.718
0.000 0.000 0.000
0.250 0.250 0.500
0.750 0.750 0.500
```

- V (Å³ per atom) = 33.71
- space group = No. 140
- crystal system = tetragonal
- formation enthalpy at 0 K (kJ/mol of atoms) = 27

Tb6PmSmDy2: optimized geometry, PBE-GGA.

Geometry as POSCAR:
```
Tb6PmSmDy2
1.0
9.178 -2.042 -2.119
0.787 8.539 -2.005
0.787 -2.320 8.459
Dy Tb Pm Sm
4 12 2 2
direct
0.955 0.702 0.805
0.455 0.805 0.702
0.045 0.298 0.195
0.545 0.195 0.298
0.380 0.507 0.293
0.682 0.023 0.570
0.120 0.707 0.493
0.880 0.293 0.507
0.056 0.120 0.750
0.318 0.977 0.430
0.182 0.570 0.023
0.556 0.750 0.120
0.620 0.493 0.707
0.444 0.250 0.880
0.818 0.430 0.977
0.944 0.880 0.250
0.750 0.593 0.407
0.250 0.407 0.593
0.250 0.975 0.025
0.750 0.025 0.975
```

- V (Å³ per atom) = 32.76
- space group = No. 15
- crystal system = monoclinic
- formation enthalpy at 0 K (kJ/mol of atoms) = 12

Tb2PmSm2Dy: optimized geometry, PBE-GGA.

Geometry as POSCAR:
```
Tb2PmSm2Dy
1.0
-1.588 0.330 -2.998
0.621 -6.495 -1.045
-15.794 -2.806 8.057
Dy Sm Tb Pm
2 4 4 2
direct
0.500 0.500 0.000
0.000 0.000 0.500
0.500 0.273 0.315
0.000 0.773 0.185
0.000 0.227 0.815
0.500 0.727 0.685
0.000 0.723 0.853
0.000 0.277 0.147
0.500 0.223 0.647
0.500 0.777 0.353
0.000 0.000 0.000
0.500 0.500 0.500
```

- V (Å³ per atom) = 33.69
- space group = No. 58
- crystal system = orthorhombic
- formation enthalpy at 0 K (kJ/mol of atoms) = 25

| no. | electronic total energy (eV per formula unit) |
| --- | --- |
| 1 | -55.6 |
| 2 | -39.9 |
| 3 | -45.2 |
| 4 | -26.5 |